(1)
Material: ZrCuAu
Method: DFT, PBE-GGA
State: optimized geometry

Output
Space-group type = P4/mmm (123)
Crystal system = tetragonal
Raw total energy = -32.6 eV per cell
Relative energy among the computed polymorphs = 97 meV/atom
ΔE_f = -0.262 eV per atom

a b c (Å): 3.380 3.380 9.195
angles (deg): 90.00 90.00 90.00
Last column: magnetic moment on the atom in μB.
Sites, in units of the cell vectors:
Au  0.000  0.000  0.347  0.02
Au  0.000  0.000  0.653  0.02
Cu  0.000  0.000  0.000  0.04
Cu  0.500  0.500  0.500  0.00
Zr  0.500  0.500  0.169  0.22
Zr  0.500  0.500  0.831  0.22

(2)
Material: Cu2GeMo
Method: DFT, PBE-GGA
State: optimized geometry

Output
Space-group type = F-43m (216)
Crystal system = cubic
Raw total energy = -21.9 eV per cell

a b c (Å): 4.269 4.269 4.269
angles (deg): 60.00 60.00 60.00
Last column: magnetic moment on the atom in μB.
Sites, in units of the cell vectors:
Cu  0.000  0.000  0.000  0.06
Cu  0.750  0.750  0.750  0.03
Ge  0.500  0.500  0.500  0.00
Mo  0.250  0.250  0.250  0.83

(3)
Material: Zr4ZnCuC2
Method: DFT, PBE-GGA
State: optimized geometry

Output
Space-group type = P-6m2 (187)
Crystal system = hexagonal
Raw total energy = -61.1 eV per cell

a b c (Å): 3.323 3.323 13.967
angles (deg): 90.00 90.00 120.00
Sites, in units of the cell vectors:
C  0.000  0.000  0.256
C  0.000  0.000  0.744
Cu  0.333  0.667  0.500
Zn  0.667  0.333  0.000
Zr  0.333  0.667  0.165
Zr  0.667  0.333  0.350
Zr  0.667  0.333  0.650
Zr  0.333  0.667  0.835

(4)
Material: Au2F
Method: DFT, PBE-GGA
State: optimized geometry

Output
Space-group type = R-3m (166)
Crystal system = trigonal
Raw total energy = -13.7 eV per cell

a b c (Å): 7.180 7.180 7.180
angles (deg): 59.91 59.91 59.91
Sites, in units of the cell vectors:
Au  0.875  0.375  0.375
Au  0.375  0.875  0.375
Au  0.375  0.375  0.375
Au  0.375  0.375  0.875
F  0.250  0.250  0.250
F  0.500  0.500  0.500